Record 1
A relaxed structure of Ce2HoPaS5, computed with GGA-PBE.

Cell lengths 4.856, 4.856, 10.386 Å; angles 90.00, 90.00, 90.00 degrees
Last column: magnetic moment on the atom in μB.
Fractional coordinates of all 9 atoms:
S1 0.500 0.000 0.500  -0.02
S2 0.000 0.000 0.753  -0.04
S3 0.000 0.000 0.247  -0.04
S4 0.000 0.500 0.500  -0.02
S5 0.500 0.500 0.000  -0.05
Ce1 0.500 0.500 0.292  1.34
Ce2 0.500 0.500 0.708  1.34
Pa1 0.000 0.000 0.000  1.58
Ho1 0.000 0.000 0.500  0.11

Values from the calculation:
Space-group type = No. 123
Raw formation energy = -1.2945 eV per atom

Record 2
A relaxed structure of CeHo2PaSb4, computed with GGA-PBE.

Cell lengths 4.397, 7.633, 7.615 Å; angles 109.40, 90.00, 90.00 degrees
Last column: magnetic moment on the atom in μB.
Fractional coordinates of all 8 atoms:
Sb1 0.000 0.748 0.254  -0.02
Sb2 0.500 0.744 0.744  -0.02
Sb3 0.500 0.256 0.256  -0.02
Sb4 0.000 0.252 0.746  -0.02
Pa1 0.500 0.500 0.000  0.84
Ho1 0.000 0.500 0.500  0.00
Ho2 0.500 0.000 0.500  0.01
Ce1 0.000 0.000 0.000  0.81

Values from the calculation:
Space-group type = No. 10
Raw formation energy = -0.9234 eV per atom

Record 3
A relaxed structure of CeHoPa2Sb4, computed with GGA-PBE.

Cell lengths 4.393, 7.612, 7.654 Å; angles 109.34, 90.00, 90.00 degrees
Last column: magnetic moment on the atom in μB.
Fractional coordinates of all 8 atoms:
Ce1 0.000 0.000 0.000  0.80
Ho1 0.500 0.500 0.000  -0.01
Sb1 0.000 0.254 0.749  -0.02
Sb2 0.000 0.746 0.251  -0.02
Sb3 0.500 0.745 0.747  -0.02
Sb4 0.500 0.255 0.253  -0.02
Pa1 0.000 0.500 0.500  0.77
Pa2 0.500 0.000 0.500  0.86

Values from the calculation:
Space-group type = No. 10
Raw formation energy = -0.7451 eV per atom

Record 4
A relaxed structure of CeHoScPa, computed with GGA-PBE.

Cell lengths 5.361, 5.361, 5.361 Å; angles 60.00, 60.00, 60.00 degrees
Last column: magnetic moment on the atom in μB.
Fractional coordinates of all 4 atoms:
Ce1 0.500 0.500 0.500  0.58
Sc1 0.000 0.000 0.000  0.15
Pa1 0.250 0.250 0.250  0.71
Ho1 0.750 0.750 0.750  0.15

Values from the calculation:
E_form = 0.32 eV/atom
Space-group type = No. 216

Record 5
A relaxed structure of Ce2HoPaSe5, computed with GGA-PBE.

Cell lengths 5.217, 5.217, 10.740 Å; angles 90.00, 90.00, 90.00 degrees
Last column: magnetic moment on the atom in μB.
Fractional coordinates of all 9 atoms:
Ho1 0.000 0.000 0.000  0.12
Se1 0.000 0.000 0.756  -0.02
Se2 0.000 0.000 0.244  -0.02
Se3 0.000 0.500 0.500  -0.03
Se4 0.500 0.500 0.000  -0.01
Se5 0.500 0.000 0.500  -0.03
Ce1 0.500 0.500 0.304  1.39
Ce2 0.500 0.500 0.696  1.39
Pa1 0.000 0.000 0.500  0.85

Values from the calculation:
Space-group type = No. 123
Raw formation energy = -1.0734 eV per atom

Record 6
A relaxed structure of CeHo2PaSe4, computed with GGA-PBE.

Cell lengths 4.023, 7.284, 6.992 Å; angles 71.43, 90.00, 90.00 degrees
Last column: magnetic moment on the atom in μB.
Fractional coordinates of all 8 atoms:
Se1 0.000 0.762 0.743  -0.01
Se2 0.500 0.240 0.750  -0.01
Se3 0.000 0.238 0.257  -0.01
Se4 0.500 0.760 0.250  -0.01
Ho1 0.500 0.000 0.500  -0.01
Ho2 0.000 0.000 0.000  -0.03
Ce1 0.500 0.500 0.000  0.79
Pa1 0.000 0.500 0.500  0.86

Values from the calculation:
Space-group type = No. 10
Raw formation energy = -1.6073 eV per atom

Record 7
A relaxed structure of Ce2HoPaSe4, computed with GGA-PBE.

Cell lengths 4.097, 7.184, 7.141 Å; angles 109.10, 90.00, 90.00 degrees
Last column: magnetic moment on the atom in μB.
Fractional coordinates of all 8 atoms:
Ho1 0.000 0.000 0.000  -0.01
Se1 0.000 0.249 0.759  -0.01
Se2 0.000 0.751 0.241  -0.01
Se3 0.500 0.243 0.239  -0.01
Se4 0.500 0.757 0.761  -0.01
Pa1 0.500 0.500 0.000  0.39
Ce1 0.000 0.500 0.500  0.75
Ce2 0.500 0.000 0.500  0.54

Values from the calculation:
Space-group type = No. 10
Raw formation energy = -1.6391 eV per atom

Record 8
A relaxed structure of CeSmHoPa, computed with GGA-PBE.

Cell lengths 5.546, 5.546, 5.546 Å; angles 60.00, 60.00, 60.00 degrees
Last column: magnetic moment on the atom in μB.
Fractional coordinates of all 4 atoms:
Ho1 0.500 0.500 0.500  0.38
Ce1 0.750 0.750 0.750  1.04
Sm1 0.250 0.250 0.250  0.26
Pa1 0.000 0.000 0.000  1.43

Values from the calculation:
E_form = 0.38 eV/atom
Space-group type = No. 216

Record 9
A relaxed structure of CeHoPaSn, computed with GGA-PBE.

Cell lengths 5.329, 5.329, 5.329 Å; angles 60.00, 60.00, 60.00 degrees
Last column: magnetic moment on the atom in μB.
Fractional coordinates of all 4 atoms:
Ho1 0.500 0.500 0.500  0.25
Ce1 0.000 0.000 0.000  0.79
Pa1 0.750 0.750 0.750  1.02
Sn1 0.250 0.250 0.250  -0.04

Values from the calculation:
E_form = -0.02 eV/atom
Space-group type = No. 216

Record 10
A relaxed structure of TbCeHoPa, computed with GGA-PBE.

Cell lengths 5.525, 5.525, 5.525 Å; angles 60.00, 60.00, 60.00 degrees
Last column: magnetic moment on the atom in μB.
Fractional coordinates of all 4 atoms:
Pa1 0.500 0.500 0.500  1.48
Ce1 0.250 0.250 0.250  1.07
Ho1 0.000 0.000 0.000  0.41
Tb1 0.750 0.750 0.750  0.42

Values from the calculation:
E_form = 0.37 eV/atom
Space-group type = No. 216

Record 11
A relaxed structure of CeHo2PaTc2, computed with GGA-PBE.

Cell lengths 6.750, 6.867, 8.217 Å; angles 114.70, 114.25, 90.00 degrees
Fractional coordinates of all 12 atoms:
Pa1 0.750 0.500 0.000
Pa2 0.250 0.500 0.000
Ce1 0.250 0.000 0.000
Ce2 0.750 0.000 0.000
Tc1 0.907 0.179 0.813
Tc2 0.093 0.821 0.187
Tc3 0.593 0.366 0.187
Tc4 0.407 0.634 0.813
Ho1 0.807 0.516 0.615
Ho2 0.307 0.099 0.615
Ho3 0.193 0.484 0.385
Ho4 0.693 0.901 0.385

Values from the calculation:
E_form = -0.03 eV/atom
Space-group type = No. 72

Record 12
A relaxed structure of CeYHoPa, computed with GGA-PBE.

Cell lengths 5.535, 5.535, 5.535 Å; angles 60.00, 60.00, 60.00 degrees
Last column: magnetic moment on the atom in μB.
Fractional coordinates of all 4 atoms:
Ho1 0.500 0.500 0.500  0.41
Ce1 0.250 0.250 0.250  1.07
Y1 0.750 0.750 0.750  0.32
Pa1 0.000 0.000 0.000  1.50

Values from the calculation:
E_form = 0.37 eV/atom
Space-group type = No. 216

One value per record, in order, for D(E_F): 23.2, 13.0, 16.8, 13.7, 19.9, 11.1, 15.8, 12.4, 9.3, 11.6, 13.9, 11.3 states/eV per cell.
One value per record, in order, for DFT total energy: -58.229, -48.462, -51.954, -25.057, -53.025, -51.382, -52.992, -23.190, -24.079, -23.160, -45.488, -24.988 eV/f.u..